Version a
MnAg2W (PBE, relaxed); DOS at the Fermi energy = 3.68 states/eV/cell
1.0
-6.741 -2.605 6.480
-5.899 -5.180 5.708
-4.504 -3.786 7.719
Ag W Mn
2 1 1
Cartesian
-17.105 -11.544 19.862
-8.611 -5.812 9.999
-12.858 -8.678 14.931
-4.286 -2.893 4.977

---

Version b
MnAg2W (PBE, relaxed); DOS at the Fermi energy = 2.89 states/eV/cell
1.0
-1.263 -4.187 -2.050
-0.992 -4.682 0.646
-5.110 0.386 0.584
W Ag Mn
1 2 1
Cartesian
-1.934 -2.060 -0.185
-7.346 -8.472 -0.820
-5.563 -6.391 -0.616
-3.571 -4.282 -0.429

---

The calculated energies rank the structures as follows, beginning with the most stable: version a, version b.

---

Version a
MnAg2W (PBE, relaxed); DOS at the Fermi energy = 5.45 states/eV/cell
1.0
0.000 3.149 3.149
3.149 0.000 3.149
3.149 3.149 0.000
Ag W Mn
2 1 1
Cartesian
1.575 1.575 1.575
4.724 4.724 4.724
3.149 3.149 3.149
0.000 0.000 0.000

---

Version b
MnAg2W (PBE, relaxed); DOS at the Fermi energy = 3.56 states/eV/cell
1.0
4.506 0.000 0.000
2.253 3.902 0.000
2.253 1.301 3.679
W Ag Mn
1 2 1
Cartesian
2.253 1.301 0.920
0.000 0.000 0.000
6.758 3.902 2.759
4.506 2.601 1.839

---

Version c
MnAg2W (PBE, relaxed); DOS at the Fermi energy = 3.61 states/eV/cell
1.0
5.101 0.003 -0.063
4.355 2.657 -0.063
0.747 0.210 4.738
W Ag Mn
1 2 1
Cartesian
2.551 0.718 1.153
5.096 1.434 2.310
0.752 0.212 4.734
7.652 2.153 3.458

---

The calculated energies rank the structures as follows, beginning with the most stable: version c, version b, version a.

---

Version a
MnAg2W (PBE, relaxed); DOS at the Fermi energy = 3.89 states/eV/cell
1.0
-2.009 -0.013 -4.088
3.070 -1.534 -1.504
-1.372 -3.418 0.685
W Mn Ag
1 1 2
Cartesian
-1.691 -1.716 -1.701
0.530 -0.773 -2.796
0.849 -2.476 -0.409
0.000 0.000 0.000

---

Version b
MnAg2W (PBE, relaxed); DOS at the Fermi energy = 2.79 states/eV/cell
1.0
4.814 0.022 0.000
1.343 4.622 0.000
-3.078 -2.322 2.881
Ag Mn W
2 1 1
Cartesian
0.672 2.311 1.441
0.000 0.000 0.000
3.078 2.322 0.000
2.407 0.011 1.441

---

The calculated energies rank the structures as follows, beginning with the most stable: version b, version a.